Here is crystalline MnGePCN at its relaxed geometry from Alexandria via LeMat-Bulk. Energies are from PBE-GGA.

## Properties
**DOS(E_F)**: 5.00 states/eV/cell
**DFT total energy**: -70.837 eV/cell
**Size of the total moment**: 0.00 μB/atom
**Crystal system**: orthorhombic

Lattice parameters (Å, degrees): 2.694 3.104 14.998 90.00 90.00 90.00
Fractional positions:
N (0.000, 0.500, 0.887)
N (0.000, 0.000, 0.387)
Mn (0.500, 0.000, 0.568)
Mn (0.500, 0.500, 0.068)
P (0.000, 0.000, 0.139)
P (0.000, 0.500, 0.639)
C (0.000, 0.500, 0.971)
C (0.000, 0.000, 0.471)
Ge (0.000, 0.000, 0.798)
Ge (0.000, 0.500, 0.298)

---

Here is crystalline TbHo2Cu3 at its relaxed geometry from Alexandria via LeMat-Bulk. Energies are from PBE-GGA.

## Properties
**Energy relative to the elements**: -260 meV/atom
**DOS(E_F)**: 2.79 states/eV/cell
**DFT total energy**: -27.634 eV/cell
**Size of the total moment**: 0.00 μB/atom
**Crystal system**: tetragonal

Lattice parameters (Å, degrees): 3.456 3.456 10.411 90.00 90.00 90.00
Fractional positions:
Cu (0.000, 0.000, 0.330)
Cu (0.000, 0.000, 0.670)
Cu (0.000, 0.000, 0.000)
Ho (0.500, 0.500, 0.166)
Ho (0.500, 0.500, 0.834)
Tb (0.500, 0.500, 0.500)

---

Here is crystalline SnSeS3 at its relaxed geometry from Alexandria via LeMat-Bulk. Energies are from PBE-GGA.

## Properties
**DOS(E_F)**: 1.76 states/eV/cell
**DFT total energy**: -18.300 eV/cell
**Size of the total moment**: 0.00 μB/atom
**Crystal system**: cubic

Lattice parameters (Å, degrees): 4.821 4.821 4.821 90.00 90.00 90.00
Fractional positions:
Sn (0.500, 0.500, 0.500)
Se (0.000, 0.000, 0.000)
S (0.000, 0.000, 0.500)
S (0.500, 0.000, 0.000)
S (0.000, 0.500, 0.000)

---

Here is crystalline Y2Ni12GeH3 at its relaxed geometry from Alexandria via LeMat-Bulk. Energies are from PBE-GGA.

## Properties
**DOS(E_F)**: 11.69 states/eV/cell
**DFT total energy**: -99.023 eV/cell
**Size of the total moment**: 0.00 μB/atom
**Crystal system**: trigonal

Lattice parameters (Å, degrees): 6.909 6.909 6.909 56.19 56.19 56.19
Fractional positions:
Ni (0.557, 0.134, 0.134)
Ni (0.134, 0.557, 0.134)
Ni (0.134, 0.134, 0.557)
Ni (0.718, 0.094, 0.718)
Ni (0.282, 0.282, 0.906)
Ni (0.282, 0.906, 0.282)
Ni (0.443, 0.866, 0.866)
Ni (0.718, 0.718, 0.094)
Ni (0.906, 0.282, 0.282)
Ni (0.866, 0.443, 0.866)
Ni (0.866, 0.866, 0.443)
Ni (0.094, 0.718, 0.718)
H (0.000, 0.000, 0.500)
H (0.500, 0.000, 0.000)
H (0.000, 0.500, 0.000)
Ge (0.000, 0.000, 0.000)
Y (0.598, 0.598, 0.598)
Y (0.402, 0.402, 0.402)

---

Here is crystalline Ac2Ni4Ge3Pd at its relaxed geometry from Alexandria via LeMat-Bulk. Energies are from PBE-GGA.

## Properties
**Energy relative to the elements**: -569 meV/atom
**DOS(E_F)**: 6.23 states/eV/cell
**DFT total energy**: -56.079 eV/cell
**Size of the total moment**: 0.00 μB/atom
**Crystal system**: tetragonal

Lattice parameters (Å, degrees): 4.259 4.259 10.146 90.00 90.00 90.00
Fractional positions:
Ge (0.500, 0.000, 0.884)
Ge (0.000, 0.000, 0.500)
Ge (0.000, 0.500, 0.116)
Pd (0.500, 0.500, 0.500)
Ac (0.000, 0.500, 0.748)
Ac (0.500, 0.000, 0.252)
Ni (0.500, 0.500, 0.000)
Ni (0.000, 0.000, 0.000)
Ni (0.000, 0.500, 0.359)
Ni (0.500, 0.000, 0.641)

---

Here is crystalline ThMg2Zn2Cu at its relaxed geometry from Alexandria via LeMat-Bulk. Energies are from PBE-GGA.

## Properties
**Energy relative to the elements**: 275 meV/atom
**DOS(E_F)**: 3.98 states/eV/cell
**DFT total energy**: -15.601 eV/cell
**Size of the total moment**: 0.00 μB/atom
**Crystal system**: tetragonal

Lattice parameters (Å, degrees): 4.970 4.970 6.497 112.49 112.49 90.00
Fractional positions:
Mg (0.250, 0.750, 0.500)
Mg (0.750, 0.250, 0.500)
Zn (0.790, 0.790, 0.580)
Zn (0.210, 0.210, 0.420)
Cu (0.000, 0.000, 0.000)
Th (0.500, 0.500, 0.000)

---

Here is crystalline Ac3Al2Hg9 at its relaxed geometry from Alexandria via LeMat-Bulk. Energies are from PBE-GGA.

## Properties
**Energy relative to the elements**: -313 meV/atom
**DOS(E_F)**: 6.74 states/eV/cell
**DFT total energy**: -26.904 eV/cell
**Size of the total moment**: 0.00 μB/atom
**Crystal system**: orthorhombic

Lattice parameters (Å, degrees): 5.243 9.259 9.259 61.03 73.55 73.55
Fractional positions:
Hg (0.370, 0.979, 0.281)
Hg (0.630, 0.021, 0.719)
Hg (0.000, 0.500, 0.500)
Hg (0.630, 0.719, 0.021)
Hg (0.154, 0.548, 0.144)
Hg (0.370, 0.281, 0.979)
Hg (0.846, 0.856, 0.452)
Hg (0.846, 0.452, 0.856)
Hg (0.154, 0.144, 0.548)
Al (0.500, 0.646, 0.354)
Al (0.500, 0.354, 0.646)
Ac (0.000, 0.000, 0.000)
Ac (0.719, 0.281, 0.281)
Ac (0.281, 0.719, 0.719)

---

Here is crystalline TbCu2Ge at its relaxed geometry from Alexandria via LeMat-Bulk. Energies are from PBE-GGA.

## Properties
**Energy relative to the elements**: -329 meV/atom
**DOS(E_F)**: 2.01 states/eV/cell
**DFT total energy**: -18.758 eV/cell
**Size of the total moment**: 0.00 μB/atom
**Crystal system**: trigonal

Lattice parameters (Å, degrees): 4.171 4.171 5.280 66.73 66.73 60.00
Fractional positions:
Cu (0.209, 0.209, 0.372)
Cu (0.791, 0.791, 0.628)
Tb (0.000, 0.000, 0.000)
Ge (0.500, 0.500, 0.500)

---

Here is crystalline AcAu4 at its relaxed geometry from Alexandria via LeMat-Bulk. Energies are from PBE-GGA.

## Properties
**Energy relative to the elements**: -591 meV/atom
**DOS(E_F)**: 1.22 states/eV/cell
**DFT total energy**: -20.171 eV/cell
**Size of the total moment**: 0.00 μB/atom
**Crystal system**: triclinic

Lattice parameters (Å, degrees): 5.311 5.364 5.350 122.08 101.71 101.90
Fractional positions:
Au (0.294, 0.475, 0.780)
Au (0.293, 0.778, 0.473)
Au (0.706, 0.525, 0.220)
Au (0.707, 0.222, 0.527)
Ac (0.000, 0.000, 0.000)

---

Here is crystalline YScSe3 at its relaxed geometry from Alexandria via LeMat-Bulk. Energies are from PBE-GGA.

## Properties
**DOS(E_F)**: 0.00 states/eV/cell
**DFT total energy**: -125.940 eV/cell
**Size of the total moment**: 0.00 μB/atom
**Crystal system**: monoclinic

Lattice parameters (Å, degrees): 12.129 9.066 9.066 85.60 124.31 55.69
Fractional positions:
Sc (0.712, 0.016, 0.169)
Sc (0.288, 0.984, 0.831)
Sc (0.788, 0.669, 0.516)
Sc (0.212, 0.331, 0.484)
Se (0.840, 0.102, 0.050)
Se (0.861, 0.770, 0.788)
Se (0.046, 0.645, 0.553)
Se (0.639, 0.288, 0.270)
Se (0.160, 0.898, 0.950)
Se (0.361, 0.712, 0.730)
Se (0.340, 0.450, 0.398)
Se (0.139, 0.230, 0.212)
Se (0.954, 0.355, 0.447)
Se (0.546, 0.947, 0.855)
Se (0.454, 0.053, 0.145)
Se (0.660, 0.550, 0.602)
Y (0.750, 0.163, 0.663)
Y (0.750, 0.485, 0.985)
Y (0.250, 0.837, 0.337)
Y (0.250, 0.515, 0.015)

---

Here is crystalline HfCrGa2 at its relaxed geometry from Alexandria via LeMat-Bulk. Energies are from PBE-GGA.

## Properties
**Energy relative to the elements**: 285 meV/atom
**DOS(E_F)**: 4.70 states/eV/cell
**DFT total energy**: -48.983 eV/cell
**Size of the total moment**: 0.00 μB/atom
**Crystal system**: tetragonal

Lattice parameters (Å, degrees): 3.826 3.826 9.903 78.86 78.86 90.00
Fractional positions:
Ga (0.875, 0.851, 0.750)
Ga (0.601, 0.125, 0.250)
Ga (0.149, 0.625, 0.250)
Ga (0.375, 0.399, 0.750)
Hf (0.000, 0.000, 0.000)
Hf (0.750, 0.250, 0.500)
Cr (0.250, 0.750, 0.500)
Cr (0.500, 0.500, 0.000)

---

Here is crystalline ZrCd4Ag2 at its relaxed geometry from Alexandria via LeMat-Bulk. Energies are from PBE-GGA.

## Properties
**Energy relative to the elements**: -22 meV/atom
**DOS(E_F)**: 2.87 states/eV/cell
**DFT total energy**: -18.066 eV/cell
**Size of the total moment**: 0.00 μB/atom
**Crystal system**: monoclinic

Lattice parameters (Å, degrees): 4.948 4.876 8.284 63.68 90.00 120.49
Fractional positions:
Ag (0.794, 0.587, 0.904)
Ag (0.206, 0.413, 0.096)
Zr (0.000, 0.000, 0.500)
Cd (0.560, 0.120, 0.713)
Cd (0.440, 0.880, 0.287)
Cd (0.782, 0.565, 0.276)
Cd (0.218, 0.435, 0.724)